PBE-GGA LuZnReNi, optimized geometry; formation energy = 0.370 eV per atom
1.0
0.000 3.194 3.194
3.194 0.000 3.194
3.194 3.194 0.000
Lu Ni Re Zn
1 1 1 1
Direct
0.250 0.250 0.250 Lu
0.750 0.750 0.750 Ni
0.500 0.500 0.500 Re
0.000 0.000 0.000 Zn

PBE-GGA TlZn5, optimized geometry; total DFT energy (no corrections) = -1.32 eV per atom
1.0
-4.582 0.287 -1.689
1.207 -6.026 -4.301
-3.904 -7.439 9.327
Tl Zn
4 20
Direct
0.000 0.067 0.016 Tl
0.500 0.954 0.321 Tl
0.000 0.933 0.516 Tl
0.500 0.046 0.821 Tl
0.500 0.359 0.023 Zn
0.251 0.748 0.139 Zn
0.749 0.748 0.139 Zn
0.000 0.390 0.159 Zn
0.500 0.311 0.224 Zn
0.250 0.580 0.331 Zn
0.750 0.580 0.331 Zn
0.000 0.204 0.331 Zn
0.500 0.290 0.448 Zn
0.000 0.434 0.489 Zn
0.500 0.641 0.523 Zn
0.251 0.252 0.639 Zn
0.749 0.252 0.639 Zn
0.000 0.610 0.659 Zn
0.500 0.689 0.724 Zn
0.250 0.420 0.831 Zn
0.750 0.420 0.831 Zn
0.000 0.796 0.831 Zn
0.500 0.710 0.948 Zn
0.000 0.566 0.989 Zn

PBE-GGA K2Tc3S6, optimized geometry; total DFT energy (no corrections) = -6.12 eV per atom
1.0
-5.601 6.253 -4.722
-9.467 -1.695 -0.522
-1.385 6.076 10.225
K S Tc
8 24 12
Direct
0.878 0.357 0.021 K
0.600 0.400 0.250 K
0.211 0.789 0.250 K
0.643 0.122 0.479 K
0.357 0.878 0.521 K
0.789 0.211 0.750 K
0.400 0.600 0.750 K
0.122 0.643 0.979 K
0.445 0.723 0.020 S
0.795 0.720 0.070 S
0.941 0.000 0.074 S
0.256 0.073 0.167 S
0.263 0.440 0.195 S
0.610 0.062 0.217 S
0.938 0.390 0.283 S
0.560 0.737 0.305 S
0.927 0.744 0.333 S
0.000 0.059 0.426 S
0.280 0.205 0.430 S
0.277 0.555 0.480 S
0.723 0.445 0.520 S
0.720 0.795 0.570 S
0.000 0.941 0.574 S
0.073 0.256 0.667 S
0.440 0.263 0.695 S
0.062 0.610 0.717 S
0.390 0.938 0.783 S
0.737 0.560 0.805 S
0.744 0.927 0.833 S
0.059 0.000 0.926 S
0.205 0.280 0.930 S
0.555 0.277 0.980 S
0.691 0.996 0.026 Tc
0.396 0.189 0.083 Tc
0.530 0.885 0.130 Tc
0.115 0.470 0.370 Tc
0.811 0.604 0.417 Tc
0.004 0.309 0.474 Tc
0.996 0.691 0.526 Tc
0.189 0.396 0.583 Tc
0.885 0.530 0.630 Tc
0.470 0.115 0.870 Tc
0.604 0.811 0.917 Tc
0.309 0.004 0.974 Tc

PBE-GGA Ho2LuIn3CuNi2, optimized geometry; total DFT energy (no corrections) = -4.56 eV per atom
1.0
3.802 0.000 0.000
0.000 6.408 3.700
0.000 -6.408 3.700
Cu Ho In Lu Ni
1 2 3 1 2
Direct
0.000 0.000 0.000 Cu
0.000 0.413 0.000 Ho
0.000 0.000 0.413 Ho
0.500 0.259 0.259 In
0.500 0.000 0.741 In
0.500 0.741 0.000 In
0.000 0.587 0.587 Lu
0.500 0.667 0.334 Ni
0.500 0.334 0.667 Ni

PBE-GGA Ho4CuNi3, optimized geometry; formation energy = -0.432 eV per atom
1.0
-0.773 -2.375 -4.727
1.804 -3.595 1.511
-6.227 -2.226 2.138
Cu Ho Ni
1 4 3
Direct
0.627 0.000 0.534 Cu
0.362 0.000 0.178 Ho
0.869 0.500 0.312 Ho
0.137 0.000 0.686 Ho
0.633 0.500 0.825 Ho
0.869 0.000 0.035 Ni
0.373 0.500 0.466 Ni
0.130 0.500 0.963 Ni

PBE-GGA Sm2Y2NCl5, optimized geometry; total DFT energy (no corrections) = -5.87 eV per atom
1.0
8.510 -1.854 0.000
8.510 1.854 0.000
-1.902 0.000 7.693
Cl N Sm Y
5 1 2 2
Direct
0.826 0.826 0.157 Cl
0.167 0.167 0.337 Cl
0.500 0.500 0.500 Cl
0.833 0.833 0.663 Cl
0.174 0.174 0.843 Cl
0.500 0.500 0.000 N
0.999 0.999 0.209 Sm
0.001 0.001 0.791 Sm
0.642 0.642 0.078 Y
0.358 0.358 0.922 Y

PBE-GGA Y4Lu2Bi3C3, optimized geometry; total DFT energy (no corrections) = -6.84 eV per atom
1.0
-0.740 -2.686 5.681
5.712 2.018 -1.824
-4.347 15.000 3.011
Bi C Lu Y
6 6 4 8
Direct
0.511 0.584 0.250 Bi
0.157 0.907 0.250 Bi
0.834 0.261 0.250 Bi
0.166 0.739 0.750 Bi
0.843 0.093 0.750 Bi
0.489 0.416 0.750 Bi
0.337 0.174 0.000 C
0.000 0.500 0.000 C
0.663 0.826 0.000 C
0.674 0.337 0.500 C
0.000 0.000 0.500 C
0.326 0.663 0.500 C
0.721 0.527 0.080 Lu
0.946 0.641 0.420 Lu
0.054 0.359 0.580 Lu
0.279 0.473 0.920 Lu
0.056 0.194 0.086 Y
0.391 0.863 0.086 Y
0.278 0.305 0.414 Y
0.609 0.970 0.414 Y
0.391 0.030 0.586 Y
0.722 0.695 0.586 Y
0.609 0.137 0.914 Y
0.944 0.806 0.914 Y

PBE-GGA Er3Tm4Ni2Te2, optimized geometry; total DFT energy (no corrections) = -5.14 eV per atom
1.0
0.672 -8.324 4.023
-2.594 7.221 5.201
-1.152 -7.008 -5.957
Er Ni Te Tm
3 2 2 4
Direct
0.681 0.681 0.000 Er
0.765 0.411 0.353 Er
0.058 0.411 0.647 Er
0.991 0.753 0.238 Ni
0.516 0.753 0.762 Ni
0.019 0.019 0.000 Te
0.416 0.916 0.500 Te
0.398 0.264 0.133 Tm
0.375 0.060 0.315 Tm
0.746 0.060 0.685 Tm
0.131 0.264 0.867 Tm